# 1
A plane-wave DFT calculation with PBE was carried out for a relaxed structure of SmBi2Pb.

Computed properties:
ΔH_f (0 K)   -40.2 kJ/mol of atoms
ΔE to the lowest computed polymorph   0.0 meV/atom

Lattice parameters (Å, degrees): 4.6403 4.6403 11.5811 90.00 90.00 90.00
With the nearest neighbours (Å) after each atom.
Sites, in units of the cell vectors:
Sm 0.0000 0.5000 0.2774  8 Bi 3.32-3.47
Sm 0.5000 0.0000 0.7226  8 Bi 3.32-3.47
Bi 0.0000 0.0000 0.5000  4 Bi 3.28, 4 Sm 3.47
Bi 0.5000 0.0000 0.2344  4 Sm 3.32, 4 Pb 3.57
Bi 0.5000 0.5000 0.5000  4 Bi 3.28, 4 Sm 3.47
Bi 0.0000 0.5000 0.7656  4 Sm 3.32, 4 Pb 3.57
Pb 0.0000 0.0000 0.0000  4 Pb 3.28, 4 Bi 3.57
Pb 0.5000 0.5000 0.0000  4 Pb 3.28, 4 Bi 3.57

***

# 2
A plane-wave DFT calculation with PBE was carried out for a relaxed structure of Sc2CoIrN.

Computed properties:
E_form (uncorrected)   875 meV per atom

Lattice parameters (Å, degrees): 4.7571 4.2296 4.7571 90.00 90.00 90.00
With the nearest neighbours (Å) after each atom.
Sites, in units of the cell vectors:
Sc 0.5000 0.0000 0.0000  2 Co 2.38
Sc 0.0000 0.0000 0.5000  2 Co 2.38
Ir 0.0000 0.5000 0.0000  2 Co 2.11
Co 0.0000 0.0000 0.0000  2 Ir 2.11
N 0.5000 0.5000 0.5000  8 Sc 3.18, 4 Ir 3.36

***

# 3
A plane-wave DFT calculation with PBE was carried out for a relaxed structure of CaLa3Zn2.

Computed properties:
ΔH_f (0 K)   -18.4 kJ/mol of atoms
ΔE to the lowest computed polymorph   0.0 meV/atom

Lattice parameters (Å, degrees): 3.8228 3.8228 12.7520 90.00 90.00 90.00
With the nearest neighbours (Å) after each atom.
Sites, in units of the cell vectors:
La 0.0000 0.0000 0.2795  4 Zn 3.20, 1 La 3.56
La 0.0000 0.0000 0.0000  8 Zn 3.27, 2 La 3.56
La 0.0000 0.0000 0.7205  4 Zn 3.20, 1 La 3.56
Zn 0.5000 0.5000 0.8552  8 La 3.20-3.27
Zn 0.5000 0.5000 0.1448  8 La 3.20-3.27
Ca 0.5000 0.5000 0.5000  4 Ca 3.82, 8 La 3.90

***

# 4
A plane-wave DFT calculation with PBE was carried out for a relaxed structure of LiP3.

Computed properties:
ΔH_f (0 K)   36.7 kJ/mol of atoms
ΔE to the lowest computed polymorph   406.3 meV/atom

Lattice parameters (Å, degrees): 8.6816 8.6816 8.6816 18.29 18.29 18.29
With the nearest neighbours (Å) after each atom.
Sites, in units of the cell vectors:
P 0.2534 0.2534 0.2534  3 Li 2.59, 9 P 2.73-2.76
P 0.5000 0.5000 0.5000  12 P 2.73-2.76
P 0.7466 0.7466 0.7466  3 Li 2.59, 9 P 2.73-2.76
Li 0.0000 0.0000 0.0000  6 P 2.59, 6 Li 2.76

***

# 5
A plane-wave DFT calculation with PBE was carried out for a relaxed structure of Hf4AlFe2.

Computed properties:
ΔH_f (0 K)   -1.4 kJ/mol of atoms

Lattice parameters (Å, degrees): 4.2997 4.2997 8.7730 75.81 75.81 60.00
With the nearest neighbours (Å) after each atom.
Sites, in units of the cell vectors:
Hf 0.3886 0.3886 0.8343  3 Fe 2.69, 3 Al 2.85
Hf 0.7968 0.7968 0.6095  4 Fe 2.63-2.71
Hf 0.2032 0.2032 0.3905  4 Fe 2.63-2.71
Hf 0.6114 0.6114 0.1657  3 Fe 2.69, 3 Al 2.85
Fe 0.0959 0.0959 0.7124  1 Al 2.42, 7 Hf 2.63-2.71
Fe 0.9041 0.9041 0.2876  1 Al 2.42, 7 Hf 2.63-2.71
Al 0.0000 0.0000 0.0000  2 Fe 2.42

***

# 6
A plane-wave DFT calculation with PBE was carried out for a relaxed structure of AcPuCuAu.

Computed properties:
ΔH_f (0 K)   -21.5 kJ/mol of atoms

Lattice parameters (Å, degrees): 5.2866 5.2866 5.2866 60.00 60.00 60.00
With the nearest neighbours (Å) after each atom.
Sites, in units of the cell vectors:
Ac 0.5000 0.5000 0.5000  4 Cu 3.24, 4 Au 3.24
Cu 0.2500 0.2500 0.2500  4 Ac 3.24, 4 Pu 3.24
Pu 0.0000 0.0000 0.0000  4 Cu 3.24, 4 Au 3.24
Au 0.7500 0.7500 0.7500  4 Ac 3.24, 4 Pu 3.24

***

# 7
A plane-wave DFT calculation with PBE was carried out for a relaxed structure of PaNi6B.

Computed properties:
ΔH_f (0 K)   -17.5 kJ/mol of atoms

Lattice parameters (Å, degrees): 5.1107 5.1107 5.4706 62.15 62.15 60.00
With the nearest neighbours (Å) after each atom.
Sites, in units of the cell vectors:
Ni 0.5691 0.0960 0.2388  1 B 1.90
Ni 0.9040 0.4309 0.7612  1 B 1.90
Ni 0.9040 0.9040 0.7612  1 B 1.90
Ni 0.4309 0.9040 0.7612  1 B 1.90
Ni 0.0960 0.0960 0.2388  1 B 1.90
Ni 0.0960 0.5691 0.2388  1 B 1.90
Pa 0.5000 0.5000 0.5000  12 Ni 2.83
B 0.0000 0.0000 0.0000  6 Ni 1.90

***

# 8
A plane-wave DFT calculation with PBE was carried out for a relaxed structure of In3Pb12Au5.

Computed properties:
ΔH_f (0 K)   7.7 kJ/mol of atoms

Lattice parameters (Å, degrees): 15.0787 15.0787 15.0787 109.47 109.47 109.47
With the nearest neighbours (Å) after each atom.
Sites, in units of the cell vectors:
Pb 0.0946 0.9238 0.3730  2 Au 2.81-2.91, 1 In 3.14
Pb 0.1270 0.4054 0.0762  2 Au 2.81-2.91, 1 In 3.14
Pb 0.0946 0.1708 0.2217  2 Au 2.81-2.91, 1 In 3.14
Pb 0.8730 0.5946 0.9238  2 Au 2.81-2.91, 1 In 3.14
Pb 0.6708 0.4492 0.5762  2 Au 2.81-2.91, 1 In 3.14
Pb 0.3292 0.5508 0.4238  2 Au 2.81-2.91, 1 In 3.14
Pb 0.7783 0.3292 0.9054  2 Au 2.81-2.91, 1 In 3.14
Pb 0.1708 0.0946 0.7217  2 Au 2.81-2.91, 1 In 3.14
Pb 0.8730 0.2783 0.4492  2 Au 2.81-2.91, 1 In 3.14
Pb 0.5762 0.9492 0.6708  2 Au 2.81-2.91, 1 In 3.14
Pb 0.4238 0.0508 0.3292  2 Au 2.81-2.91, 1 In 3.14
Pb 0.4054 0.1270 0.5762  2 Au 2.81-2.91, 1 In 3.14
Pb 0.4492 0.6708 0.0762  2 Au 2.81-2.91, 1 In 3.14
Pb 0.3292 0.7783 0.4054  2 Au 2.81-2.91, 1 In 3.14
Pb 0.5508 0.3292 0.9238  2 Au 2.81-2.91, 1 In 3.14
Pb 0.4492 0.7783 0.8730  2 Au 2.81-2.91, 1 In 3.14
Pb 0.5946 0.8730 0.4238  2 Au 2.81-2.91, 1 In 3.14
Pb 0.3730 0.4238 0.0946  2 Au 2.81-2.91, 1 In 3.14
Pb 0.0762 0.1708 0.4492  2 Au 2.81-2.91, 1 In 3.14
Pb 0.7217 0.5946 0.1708  2 Au 2.81-2.91, 1 In 3.14
Pb 0.5946 0.7217 0.6708  2 Au 2.81-2.91, 1 In 3.14
Pb 0.5762 0.6270 0.4054  2 Au 2.81-2.91, 1 In 3.14
Pb 0.2783 0.4054 0.8292  2 Au 2.81-2.91, 1 In 3.14
Pb 0.0762 0.9054 0.1270  2 Au 2.81-2.91, 1 In 3.14
Pb 0.2783 0.8730 0.9492  2 Au 2.81-2.91, 1 In 3.14
Pb 0.8292 0.9054 0.2783  2 Au 2.81-2.91, 1 In 3.14
Pb 0.0508 0.4238 0.8292  2 Au 2.81-2.91, 1 In 3.14
Pb 0.6270 0.0508 0.2217  2 Au 2.81-2.91, 1 In 3.14
Pb 0.1708 0.0762 0.9492  2 Au 2.81-2.91, 1 In 3.14
Pb 0.2217 0.6708 0.0946  2 Au 2.81-2.91, 1 In 3.14
Pb 0.9492 0.5762 0.1708  2 Au 2.81-2.91, 1 In 3.14
Pb 0.1270 0.7217 0.5508  2 Au 2.81-2.91, 1 In 3.14
Pb 0.9238 0.0946 0.8730  2 Au 2.81-2.91, 1 In 3.14
Pb 0.9054 0.0762 0.6270  2 Au 2.81-2.91, 1 In 3.14
Pb 0.9238 0.8292 0.5508  2 Au 2.81-2.91, 1 In 3.14
Pb 0.8292 0.9238 0.0508  2 Au 2.81-2.91, 1 In 3.14
Pb 0.6270 0.5762 0.9054  2 Au 2.81-2.91, 1 In 3.14
Pb 0.0508 0.6270 0.7217  2 Au 2.81-2.91, 1 In 3.14
Pb 0.2217 0.5508 0.6270  2 Au 2.81-2.91, 1 In 3.14
Pb 0.5508 0.2217 0.1270  2 Au 2.81-2.91, 1 In 3.14
Pb 0.7217 0.1270 0.0508  2 Au 2.81-2.91, 1 In 3.14
Pb 0.6708 0.2217 0.5946  2 Au 2.81-2.91, 1 In 3.14
Pb 0.9492 0.3730 0.2783  2 Au 2.81-2.91, 1 In 3.14
Pb 0.4238 0.3730 0.5946  2 Au 2.81-2.91, 1 In 3.14
Pb 0.9054 0.8292 0.7783  2 Au 2.81-2.91, 1 In 3.14
Pb 0.7783 0.4492 0.3730  2 Au 2.81-2.91, 1 In 3.14
Pb 0.4054 0.2783 0.3292  2 Au 2.81-2.91, 1 In 3.14
Pb 0.3730 0.9492 0.7783  2 Au 2.81-2.91, 1 In 3.14
Au 0.0000 0.5000 0.5000  6 Pb 2.91
Au 0.5000 0.0000 0.5000  6 Pb 2.91
Au 0.0000 0.5000 0.0000  6 Pb 2.91
Au 0.3750 0.1250 0.7500  4 Pb 2.81
Au 0.3750 0.2500 0.1250  4 Pb 2.81
Au 0.8750 0.6250 0.7500  4 Pb 2.81
Au 0.5000 0.5000 0.5000  6 Pb 2.91
Au 0.0000 0.0000 0.5000  6 Pb 2.91
Au 0.6250 0.7500 0.8750  4 Pb 2.81
Au 0.2500 0.3750 0.6250  4 Pb 2.81
Au 0.6250 0.8750 0.2500  4 Pb 2.81
Au 0.5000 0.5000 0.0000  6 Pb 2.91
Au 0.5000 0.0000 0.0000  6 Pb 2.91
Au 0.8750 0.2500 0.6250  4 Pb 2.81
Au 0.0000 0.0000 0.0000  6 Pb 2.91
Au 0.1250 0.7500 0.3750  4 Pb 2.81
Au 0.7500 0.1250 0.8750  4 Pb 2.81
Au 0.7500 0.6250 0.3750  4 Pb 2.81
Au 0.2500 0.8750 0.1250  4 Pb 2.81
Au 0.1250 0.3750 0.2500  4 Pb 2.81
In 0.6250 0.3750 0.7500  8 Pb 3.14-3.35
In 0.1250 0.8750 0.7500  8 Pb 3.14-3.35
In 0.7500 0.3750 0.1250  8 Pb 3.14-3.35
In 0.6250 0.2500 0.3750  8 Pb 3.14-3.35
In 0.2500 0.1250 0.3750  8 Pb 3.14-3.35
In 0.7500 0.8750 0.6250  8 Pb 3.14-3.35
In 0.1250 0.2500 0.8750  8 Pb 3.14-3.35
In 0.3750 0.6250 0.2500  8 Pb 3.14-3.35
In 0.3750 0.7500 0.6250  8 Pb 3.14-3.35
In 0.2500 0.6250 0.8750  8 Pb 3.14-3.35
In 0.8750 0.7500 0.1250  8 Pb 3.14-3.35
In 0.8750 0.1250 0.2500  8 Pb 3.14-3.35

***

# 9
A plane-wave DFT calculation with PBE was carried out for a relaxed structure of Ca2SbPO.

Computed properties:
E_form (uncorrected)   -1098 meV per atom

Lattice parameters (Å, degrees): 4.8013 4.4963 4.8013 90.00 90.00 90.00
With the nearest neighbours (Å) after each atom.
Sites, in units of the cell vectors:
P 0.0000 0.5000 0.0000  2 O 2.25
O 0.0000 0.0000 0.0000  2 P 2.25, 4 Ca 2.40
Ca 0.0000 0.0000 0.5000  2 O 2.40
Ca 0.5000 0.0000 0.0000  2 O 2.40
Sb 0.5000 0.5000 0.5000  8 Ca 3.29, 4 P 3.40

***

# 10
A plane-wave DFT calculation with PBE was carried out for a relaxed structure of Tb6Pd2C.

Computed properties:
ΔH_f (0 K)   -47.2 kJ/mol of atoms

Lattice parameters (Å, degrees): 6.5757 7.1183 9.6861 90.00 88.85 90.00
With the nearest neighbours (Å) after each atom.
Sites, in units of the cell vectors:
Tb 0.3238 0.8010 0.9436  1 C 2.50
Tb 0.6925 0.1791 0.4440  1 C 2.46
Tb 0.6139 0.4672 0.7590  1 C 2.45
Tb 0.3861 0.5328 0.2410  1 C 2.45
Tb 0.1762 0.3010 0.5564  1 C 2.50
Tb 0.1925 0.3209 0.9440  1 C 2.46
Tb 0.8238 0.6990 0.4436  1 C 2.50
Tb 0.1139 0.0328 0.2590  1 C 2.45
Tb 0.8861 0.9672 0.7410  1 C 2.45
Tb 0.6762 0.1990 0.0564  1 C 2.50
Tb 0.3075 0.8209 0.5560  1 C 2.46
Tb 0.8075 0.6791 0.0560  1 C 2.46
Pd 0.4594 0.0883 0.7486  6 Tb 2.86-3.06
Pd 0.9594 0.4117 0.2486  6 Tb 2.86-3.06
Pd 0.5406 0.9117 0.2514  6 Tb 2.86-3.06
Pd 0.0406 0.5883 0.7514  6 Tb 2.86-3.06
C 0.5000 0.5000 0.0000  6 Tb 2.45-2.50
C 0.0000 0.0000 0.5000  6 Tb 2.45-2.50

***

# 11
A plane-wave DFT calculation with PBE was carried out for a relaxed structure of CsTaCd2Ni.

Computed properties:
ΔH_f (0 K)   136.8 kJ/mol of atoms

Lattice parameters (Å, degrees): 5.1185 5.4679 5.1185 90.00 90.00 90.00
With the nearest neighbours (Å) after each atom.
Sites, in units of the cell vectors:
Cd 0.5000 0.0000 0.0000  2 Ni 2.56
Cd 0.0000 0.0000 0.5000  2 Ni 2.56
Ni 0.0000 0.0000 0.0000  4 Cd 2.56, 2 Cs 2.73
Ta 0.5000 0.5000 0.5000  4 Cs 3.62, 8 Cd 3.74
Cs 0.0000 0.5000 0.0000  2 Ni 2.73

***

# 12
A plane-wave DFT calculation with PBE was carried out for a relaxed structure of HoLuI.

Computed properties:
E_form (uncorrected)   -134 meV per atom

Lattice parameters (Å, degrees): 3.7124 5.3697 5.3697 120.00 90.00 90.00
With the nearest neighbours (Å) after each atom.
Sites, in units of the cell vectors:
Lu 0.2362 0.3333 0.6667  3 I 3.21, 3 Ho 3.57
I 0.0068 0.0000 0.0000  3 Lu 3.21, 3 Ho 3.24
Ho 0.7570 0.6667 0.3333  3 I 3.24, 3 Lu 3.57

***

Quick rundown of theoretical density, same order as above: 10.3, 6.2, 5.2, 2.9, 10.5, 11.6, 9.5, 9.6, 4.0, 8.6, 6.9, 8.4 Mg/m³
Quick rundown of magnetization, same order as above: 0.000, 0.842, 0.067, 0.000, 0.000, 5.824, 0.000, 0.000, 0.000, 0.000, 3.728, 0.000 μB/f.u.
Quick rundown of density of states at the Fermi level, same order as above: 1.94, 3.95, 7.34, 1.75, 5.46, 12.35, 3.56, 11.09, 1.79, 9.06, 5.85, 2.08 states/eV/f.u.